Record 1
Here is a relaxed structure of FeTc2B from Alexandria via LeMat-Bulk. Energies are from PBE-GGA.

Results
The value obtained for the size of the total moment is 0.00 Bohr magnetons per cell. As for the density: 9.50 Mg/m³. For the formation energy, the calculation gives 124 meV per atom.

Structure (POSCAR):
```
FeTc2B
1.0
0.000 3.571 3.808
3.376 0.000 3.808
3.376 3.571 0.000
Fe Tc B
2 4 2
direct
0.174 0.826 0.174
0.826 0.174 0.826
0.250 0.250 0.250
0.323 0.677 0.677
0.677 0.323 0.323
0.750 0.750 0.750
0.227 0.227 0.773
0.773 0.773 0.227
```

=====

Record 2
Here is a relaxed structure of FeTcB from Alexandria via LeMat-Bulk. Energies are from PBE-GGA.

Results
The value obtained for the size of the total moment is 0.00 Bohr magnetons per cell. As for the density: 9.06 Mg/m³. For the formation energy, the calculation gives -85 meV per atom.

Structure (POSCAR):
```
FeTcB
1.0
2.626 0.000 0.000
0.000 2.626 0.000
0.000 0.000 8.751
Fe Tc B
2 2 2
direct
0.000 0.000 0.000
0.500 0.500 0.500
0.000 0.000 0.709
0.500 0.500 0.209
0.000 0.000 0.383
0.500 0.500 0.883
```

=====

Record 3
Here is a relaxed structure of FeTcB4 from Alexandria via LeMat-Bulk. Energies are from PBE-GGA.

Results
The value obtained for the size of the total moment is 0.00 Bohr magnetons per cell. As for the density: 6.59 Mg/m³. For the formation energy, the calculation gives -33 meV per atom.

Structure (POSCAR):
```
FeTcB4
1.0
6.286 0.000 0.000
0.000 10.467 0.000
0.000 0.000 3.020
Fe Tc B
4 4 16
direct
0.151 0.081 0.000
0.349 0.581 0.000
0.651 0.419 0.000
0.849 0.919 0.000
0.066 0.371 0.000
0.434 0.871 0.000
0.566 0.129 0.000
0.934 0.629 0.000
0.011 0.206 0.500
0.113 0.938 0.500
0.142 0.528 0.500
0.209 0.702 0.500
0.291 0.202 0.500
0.358 0.028 0.500
0.387 0.438 0.500
0.489 0.706 0.500
0.511 0.294 0.500
0.613 0.562 0.500
0.642 0.972 0.500
0.709 0.798 0.500
0.791 0.298 0.500
0.858 0.472 0.500
0.887 0.062 0.500
0.989 0.794 0.500
```

=====

Record 4
Here is a relaxed structure of Fe2TcB6 from Alexandria via LeMat-Bulk. Energies are from PBE-GGA.

Results
The value obtained for the size of the total moment is 6.75 Bohr magnetons per cell. As for the density: 6.14 Mg/m³. For the formation energy, the calculation gives -41 meV per atom.

Structure (POSCAR):
```
Fe2TcB6
1.0
5.224 0.000 0.000
-2.612 4.524 0.000
0.000 0.000 3.142
Fe Tc B
2 1 6
direct
0.333 0.667 0.000
0.667 0.333 0.000
0.000 0.000 0.000
0.000 0.336 0.500
0.000 0.664 0.500
0.336 0.000 0.500
0.336 0.336 0.500
0.664 0.000 0.500
0.664 0.664 0.500
```

=====

Record 5
Here is a relaxed structure of Fe3TcB from Alexandria via LeMat-Bulk. Energies are from PBE-GGA.

Results
The value obtained for the size of the total moment is 5.83 Bohr magnetons per cell. As for the density: 5.29 Mg/m³. For the formation energy, the calculation gives 2228 meV per atom.

Structure (POSCAR):
```
Fe3TcB
1.0
4.426 0.000 0.000
0.000 4.426 0.000
0.000 0.000 4.426
Fe Tc B
3 1 1
direct
0.000 0.000 0.500
0.000 0.500 0.000
0.500 0.000 0.000
0.000 0.000 0.000
0.500 0.500 0.500
```

=====

Record 6
Here is a relaxed structure of FeTc2B from Alexandria via LeMat-Bulk. Energies are from PBE-GGA.

Results
The value obtained for the size of the total moment is 7.46 Bohr magnetons per cell. As for the density: 8.25 Mg/m³. For the formation energy, the calculation gives 433 meV per atom.

Structure (POSCAR):
```
FeTc2B
1.0
2.825 0.000 0.000
-1.413 2.447 0.000
0.000 0.000 22.950
Fe Tc B
3 6 3
direct
0.000 0.000 0.000
0.333 0.667 0.667
0.667 0.333 0.333
0.000 0.000 0.107
0.000 0.000 0.893
0.333 0.667 0.560
0.333 0.667 0.774
0.667 0.333 0.226
0.667 0.333 0.440
0.000 0.000 0.500
0.333 0.667 0.167
0.667 0.333 0.833
```